1.
ZnSi2: relaxed, GGA-PBE.

Summary:
The mass density is 3.4 g/cm3. As for the raw formation energy: 0.91 eV/atom. The calculation puts the volume at 59 Å³/cell. Its total energy is -3.13 eV per atom.

abc: 3.4923 3.4923 4.8439
angles: 90.00 90.00 90.00
Last column: nearest neighbours and their distance in Å.
Fractional coordinates of all 3 atoms:
Zn  0.0000  0.0000  0.0000  6 Si 2.42-2.47
Si  0.0000  0.0000  0.5000  2 Zn 2.42
Si  0.5000  0.5000  0.0000  4 Zn 2.47

=====

2.
ZnSi3: relaxed, GGA-PBE.

Summary:
The mass density is 4.1 g/cm3. The value obtained for the energy relative to the lowest polymorph listed for this composition is 155 meV/atom. As for the raw formation energy: 0.42 eV/atom. The calculation puts the volume at 121 Å³/cell. Its total energy is -3.97 eV per atom.

abc: 5.5159 5.5159 4.0713
angles: 90.00 90.00 101.95
Last column: nearest neighbours and their distance in Å.
Fractional coordinates of all 8 atoms:
Zn  0.1126  0.8874  0.7500  10 Si 2.67-2.90, 2 Zn 2.81
Zn  0.8874  0.1126  0.2500  10 Si 2.67-2.90, 2 Zn 2.81
Si  0.1891  0.3820  0.7500  6 Si 2.62-2.78, 4 Zn 2.67-2.90
Si  0.3230  0.6770  0.2500  8 Si 2.62-2.78, 2 Zn 2.72
Si  0.3820  0.1891  0.2500  6 Si 2.62-2.78, 4 Zn 2.67-2.90
Si  0.6180  0.8109  0.7500  6 Si 2.62-2.78, 4 Zn 2.67-2.90
Si  0.6770  0.3230  0.7500  8 Si 2.62-2.78, 2 Zn 2.72
Si  0.8109  0.6180  0.2500  6 Si 2.62-2.78, 4 Zn 2.67-2.90